A plane-wave DFT calculation with PBE-GGA was carried out for a relaxed YBRu2C crystal.

abc: 3.559 5.690 7.037
angles: 90.00 90.00 108.23
Atoms (fractional coordinates):
C (0.000, 0.000, 0.500)
C (0.000, 0.000, 0.000)
Y (0.450, 0.901, 0.750)
Y (0.550, 0.099, 0.250)
Ru (0.830, 0.660, 0.066)
Ru (0.830, 0.660, 0.434)
Ru (0.170, 0.340, 0.566)
Ru (0.170, 0.340, 0.934)
B (0.724, 0.448, 0.750)
B (0.276, 0.552, 0.250)

Calculated values
- Calculated volume: 13.54 A^3/atom
- Formation energy from the elements: -321 meV per atom
- Total magnetic moment: 0.0 Bohr magnetons per cell



A plane-wave DFT calculation with PBE-GGA was carried out for a relaxed BC3S crystal.

abc: 3.512 3.512 3.512
angles: 90.00 90.00 90.00
Atoms (fractional coordinates):
B (0.000, 0.000, 0.000)
S (0.500, 0.500, 0.500)
C (0.000, 0.500, 0.000)
C (0.500, 0.000, 0.000)
C (0.000, 0.000, 0.500)

Calculated values
- Calculated volume: 8.66 A^3/atom
- Total magnetic moment: 0.0 Bohr magnetons per cell
- Raw formation energy: 2.641 eV per atom